Co2MoAu | PBE | optimized geometry

formation enthalpy at 0 K	226	kJ/mol of formula units

abc: 6.6122 6.6122 5.4139
angles: 52.36 52.36 90.00
Last column: nearest neighbours and their distance in Å.
Element x y z (fractional)
Au1 0.0000 0.0000 0.0000  4 Co 2.58, 2 Mo 2.73
Au2 0.7500 0.2500 0.5000  4 Co 2.58, 2 Mo 2.73
Mo1 0.2500 0.7500 0.5000  4 Co 2.30
Co1 0.8750 0.8428 0.7500  2 Mo 2.30
Mo2 0.5000 0.5000 0.0000  4 Co 2.30
Co2 0.5928 0.1250 0.2500  2 Mo 2.30
Co3 0.1572 0.6250 0.2500  2 Mo 2.30
Co4 0.3750 0.4072 0.7500  2 Mo 2.30